1.
Density functional theory data (meta-GGA SCAN) for a PBEsol-optimized structure of ZnSb2Te.

```
data_ZnSb2Te
_space_group_name_H-M_alt 'P 1'
_space_group_IT_number 1
_cell_length_a 7.289
_cell_length_b 7.289
_cell_length_c 7.289
_cell_angle_alpha 90.00
_cell_angle_beta 90.00
_cell_angle_gamma 90.00
loop_
_space_group_symop_operation_xyz
'x,y,z'
loop_
_atom_site_label
_atom_site_type_symbol
_atom_site_fract_x
_atom_site_fract_y
_atom_site_fract_z
Zn1 Zn 0.000 0.000 0.000
Zn2 Zn 0.000 0.500 0.500
Zn3 Zn 0.500 0.000 0.500
Zn4 Zn 0.500 0.500 0.000
Sb1 Sb 0.000 0.000 0.500
Sb2 Sb 0.000 0.500 0.000
Sb3 Sb 0.250 0.250 0.750
Sb4 Sb 0.250 0.750 0.250
Sb5 Sb 0.500 0.000 0.000
Sb6 Sb 0.500 0.500 0.500
Sb7 Sb 0.750 0.250 0.250
Sb8 Sb 0.750 0.750 0.750
Te1 Te 0.250 0.250 0.250
Te2 Te 0.250 0.750 0.750
Te3 Te 0.750 0.250 0.750
Te4 Te 0.750 0.750 0.250
```

Properties
- symmetry = No. 216
- formation energy from raw total energies (eV per atom) = 0.318
- DOS(E_F) (states/eV/cell) = 8.53
- ΔE to the lowest computed polymorph (eV/atom) = 0.308

---

2.
Density functional theory data (meta-GGA SCAN) for a PBEsol-optimized structure of ZrSbTe.

```
data_ZrSbTe
_space_group_name_H-M_alt 'P 1'
_space_group_IT_number 1
_cell_length_a 6.973
_cell_length_b 6.973
_cell_length_c 6.973
_cell_angle_alpha 90.00
_cell_angle_beta 90.00
_cell_angle_gamma 90.00
loop_
_space_group_symop_operation_xyz
'x,y,z'
loop_
_atom_site_label
_atom_site_type_symbol
_atom_site_fract_x
_atom_site_fract_y
_atom_site_fract_z
Zr1 Zr 0.000 0.000 0.000
Zr2 Zr 0.000 0.500 0.500
Zr3 Zr 0.500 0.000 0.500
Zr4 Zr 0.500 0.500 0.000
Sb1 Sb 0.250 0.250 0.750
Sb2 Sb 0.250 0.750 0.250
Sb3 Sb 0.750 0.250 0.250
Sb4 Sb 0.750 0.750 0.750
Te1 Te 0.250 0.250 0.250
Te2 Te 0.250 0.750 0.750
Te3 Te 0.750 0.250 0.750
Te4 Te 0.750 0.750 0.250
```

Properties
- symmetry = No. 216
- formation energy from raw total energies (eV per atom) = -0.375
- DOS(E_F) (states/eV/cell) = 5.09

---

3.
Density functional theory data (meta-GGA SCAN) for a PBEsol-optimized structure of ZrSbTe2.

```
data_ZrSbTe2
_space_group_name_H-M_alt 'P 1'
_space_group_IT_number 1
_cell_length_a 3.619
_cell_length_b 4.698
_cell_length_c 12.901
_cell_angle_alpha 90.00
_cell_angle_beta 90.00
_cell_angle_gamma 90.00
loop_
_space_group_symop_operation_xyz
'x,y,z'
loop_
_atom_site_label
_atom_site_type_symbol
_atom_site_fract_x
_atom_site_fract_y
_atom_site_fract_z
Zr1 Zr 0.000 0.000 0.000
Zr2 Zr 0.500 0.500 0.500
Sb1 Sb 0.000 0.500 0.700
Sb2 Sb 0.500 0.000 0.200
Te1 Te 0.000 0.000 0.543
Te2 Te 0.000 0.500 0.326
Te3 Te 0.500 0.000 0.826
Te4 Te 0.500 0.500 0.043
```

Properties
- symmetry = No. 44
- formation energy from raw total energies (eV per atom) = -0.282
- DOS(E_F) (states/eV/cell) = 6.22

---

4.
Density functional theory data (meta-GGA SCAN) for a PBEsol-optimized structure of Th3Sb4.

```
data_Th3Sb4
_space_group_name_H-M_alt 'P 1'
_space_group_IT_number 1
_cell_length_a 8.078
_cell_length_b 8.078
_cell_length_c 8.078
_cell_angle_alpha 109.47
_cell_angle_beta 109.47
_cell_angle_gamma 109.47
loop_
_space_group_symop_operation_xyz
'x,y,z'
loop_
_atom_site_label
_atom_site_type_symbol
_atom_site_fract_x
_atom_site_fract_y
_atom_site_fract_z
Th1 Th 0.125 0.750 0.875
Th2 Th 0.250 0.625 0.375
Th3 Th 0.375 0.250 0.625
Th4 Th 0.625 0.375 0.250
Th5 Th 0.750 0.875 0.125
Th6 Th 0.875 0.125 0.750
Sb1 Sb 0.000 0.339 0.500
Sb2 Sb 0.000 0.839 0.500
Sb3 Sb 0.161 0.161 0.161
Sb4 Sb 0.339 0.500 0.000
Sb5 Sb 0.500 0.000 0.339
Sb6 Sb 0.500 0.000 0.839
Sb7 Sb 0.661 0.661 0.661
Sb8 Sb 0.839 0.500 0.000
```

Properties
- symmetry = No. 220
- formation energy from raw total energies (eV per atom) = -0.956
- DOS(E_F) (states/eV/cell) = 3.84